# 1
A geometry-optimized BaCaOF2 structure, computed with PBE.

Output
Energy relative to the lowest polymorph listed for this composition   894 meV per atom
Crystal system   tetragonal

a b c (Å): 4.854 4.854 5.221
angles (deg): 90.00 90.00 90.00
Space group P4/mmm (No. 123)
Asymmetric unit:
Ba 0.000 0.000 0.000 [1 per cell]
Ca 0.500 0.500 0.500 [1 per cell]
O 0.000 0.000 0.500 [1 per cell]
F 0.000 0.500 0.000 [2 per cell]

# 2
A geometry-optimized BaCaOF2 structure, computed with PBE.

Output
Energy relative to the lowest polymorph listed for this composition   0 meV per atom
Crystal system   tetragonal

a b c (Å): 4.373 4.373 4.604
angles (deg): 90.00 90.00 90.00
Space group P4/mmm (No. 123)
Asymmetric unit:
Ba 0.000 0.000 0.000 [1 per cell]
Ca 0.500 0.500 0.500 [1 per cell]
O 0.500 0.500 0.000 [1 per cell]
F 0.000 0.500 0.500 [2 per cell]

# 3
A geometry-optimized BaCa2PF structure, computed with PBE.

Output
DFT total energy   -3.81 eV per atom
Crystal system   tetragonal

a b c (Å): 4.821 4.821 5.621
angles (deg): 90.00 90.00 90.00
Space group P4/mmm (No. 123)
Asymmetric unit:
Ba 0.000 0.000 0.000 [1 per cell]
Ca 0.000 0.500 0.500 [2 per cell]
P 0.500 0.500 0.000 [1 per cell]
F 0.000 0.000 0.500 [1 per cell]